*A*
Crystalline NaSrAsPd at its relaxed geometry. Source: OQMD via LeMat-Bulk, functional PBE.

Values from the calculation:
The calculated volume comes out at 21.39 Å³/atom.

Cell lengths 4.9463, 4.9463, 4.9463 Å; angles 60.00, 60.00, 60.00 degrees
Fractional coordinates of all 4 atoms:
1 As 0.2500 0.2500 0.2500
2 Na 0.7500 0.7500 0.7500
3 Pd 0.5000 0.5000 0.5000
4 Sr 0.0000 0.0000 0.0000

*B*
Crystalline NaSrAsPd at its relaxed geometry. Source: OQMD via LeMat-Bulk, functional PBE.

Values from the calculation:
The calculated volume comes out at 23.59 Å³/atom.

Cell lengths 5.1102, 5.1102, 5.1102 Å; angles 60.00, 60.00, 60.00 degrees
Fractional coordinates of all 4 atoms:
1 As 0.0000 0.0000 0.0000
2 Na 0.7500 0.7500 0.7500
3 Pd 0.5000 0.5000 0.5000
4 Sr 0.2500 0.2500 0.2500

*C*
Crystalline NaSrAsPd at its relaxed geometry. Source: OQMD via LeMat-Bulk, functional PBE.

Values from the calculation:
The calculated volume comes out at 21.09 Å³/atom.

Cell lengths 4.9229, 4.9229, 4.9229 Å; angles 60.00, 60.00, 60.00 degrees
Fractional coordinates of all 4 atoms:
1 As 0.5000 0.5000 0.5000
2 Na 0.7500 0.7500 0.7500
3 Pd 0.2500 0.2500 0.2500
4 Sr 0.0000 0.0000 0.0000

*C* is preferred energetically. Next in line: 0.9 kJ/mol of atoms higher.

*A*
Crystalline NaZnAsPd at its relaxed geometry. Source: OQMD via LeMat-Bulk, functional PBE.

Values from the calculation:
The calculated volume comes out at 17.17 Å³/atom.

Cell lengths 4.5969, 4.5969, 4.5969 Å; angles 60.00, 60.00, 60.00 degrees
Fractional coordinates of all 4 atoms:
1 As 0.0000 0.0000 0.0000
2 Na 0.7500 0.7500 0.7500
3 Pd 0.5000 0.5000 0.5000
4 Zn 0.2500 0.2500 0.2500

*B*
Crystalline NaZnAsPd at its relaxed geometry. Source: OQMD via LeMat-Bulk, functional PBE.

Values from the calculation:
The calculated volume comes out at 16.70 Å³/atom.

Cell lengths 4.5547, 4.5547, 4.5547 Å; angles 60.00, 60.00, 60.00 degrees
Fractional coordinates of all 4 atoms:
1 As 0.5000 0.5000 0.5000
2 Na 0.7500 0.7500 0.7500
3 Pd 0.2500 0.2500 0.2500
4 Zn 0.0000 0.0000 0.0000

*C*
Crystalline NaZnAsPd at its relaxed geometry. Source: OQMD via LeMat-Bulk, functional PBE.

Values from the calculation:
The calculated volume comes out at 17.02 Å³/atom.

Cell lengths 4.5829, 4.5829, 4.5829 Å; angles 60.00, 60.00, 60.00 degrees
Fractional coordinates of all 4 atoms:
1 As 0.2500 0.2500 0.2500
2 Na 0.7500 0.7500 0.7500
3 Pd 0.5000 0.5000 0.5000
4 Zn 0.0000 0.0000 0.0000

*B* is preferred energetically. Next in line: 7.8 kJ/mol of atoms higher.

*A*
Crystalline NaReSbAs at its relaxed geometry. Source: OQMD via LeMat-Bulk, functional PBE.

Values from the calculation:
The calculated volume comes out at 19.02 Å³/atom.

Cell lengths 4.7560, 4.7560, 4.7560 Å; angles 60.00, 60.00, 60.00 degrees
Fractional coordinates of all 4 atoms:
1 As 0.0000 0.0000 0.0000
2 Na 0.7500 0.7500 0.7500
3 Re 0.5000 0.5000 0.5000
4 Sb 0.2500 0.2500 0.2500

*B*
Crystalline NaReSbAs at its relaxed geometry. Source: OQMD via LeMat-Bulk, functional PBE.

Values from the calculation:
The calculated volume comes out at 17.90 Å³/atom.

Cell lengths 4.6609, 4.6609, 4.6609 Å; angles 60.00, 60.00, 60.00 degrees
Fractional coordinates of all 4 atoms:
1 As 0.5000 0.5000 0.5000
2 Na 0.7500 0.7500 0.7500
3 Re 0.2500 0.2500 0.2500
4 Sb 0.0000 0.0000 0.0000

*B* is preferred energetically. Next in line: 48.3 kJ/mol of atoms higher.

*A*
Crystalline NaTcSbAs at its relaxed geometry. Source: OQMD via LeMat-Bulk, functional PBE.

Values from the calculation:
The calculated volume comes out at 19.05 Å³/atom.

Cell lengths 4.7584, 4.7584, 4.7584 Å; angles 60.00, 60.00, 60.00 degrees
Fractional coordinates of all 4 atoms:
1 As 0.0000 0.0000 0.0000
2 Na 0.7500 0.7500 0.7500
3 Sb 0.2500 0.2500 0.2500
4 Tc 0.5000 0.5000 0.5000

*B*
Crystalline NaTcSbAs at its relaxed geometry. Source: OQMD via LeMat-Bulk, functional PBE.

Values from the calculation:
The calculated volume comes out at 18.03 Å³/atom.

Cell lengths 4.6719, 4.6719, 4.6719 Å; angles 60.00, 60.00, 60.00 degrees
Fractional coordinates of all 4 atoms:
1 As 0.5000 0.5000 0.5000
2 Na 0.7500 0.7500 0.7500
3 Sb 0.0000 0.0000 0.0000
4 Tc 0.2500 0.2500 0.2500

*B* is preferred energetically. Next in line: 39.5 kJ/mol of atoms higher.

*A*
Crystalline NaTaTcAs at its relaxed geometry. Source: OQMD via LeMat-Bulk, functional PBE.

Values from the calculation:
The calculated volume comes out at 15.91 Å³/atom.

Cell lengths 4.4818, 4.4818, 4.4818 Å; angles 60.00, 60.00, 60.00 degrees
Fractional coordinates of all 4 atoms:
1 As 0.5000 0.5000 0.5000
2 Na 0.7500 0.7500 0.7500
3 Ta 0.0000 0.0000 0.0000
4 Tc 0.2500 0.2500 0.2500

*B*
Crystalline NaTaTcAs at its relaxed geometry. Source: OQMD via LeMat-Bulk, functional PBE.

Values from the calculation:
The calculated volume comes out at 16.47 Å³/atom.

Cell lengths 4.5334, 4.5334, 4.5334 Å; angles 60.00, 60.00, 60.00 degrees
Fractional coordinates of all 4 atoms:
1 As 0.0000 0.0000 0.0000
2 Na 0.7500 0.7500 0.7500
3 Ta 0.2500 0.2500 0.2500
4 Tc 0.5000 0.5000 0.5000

*A* is preferred energetically. Next in line: 13.0 kJ/mol of atoms higher.

*A*
Crystalline NaTeAsW at its relaxed geometry. Source: OQMD via LeMat-Bulk, functional PBE.

Values from the calculation:
The calculated volume comes out at 19.95 Å³/atom.

Cell lengths 4.8328, 4.8328, 4.8328 Å; angles 60.00, 60.00, 60.00 degrees
Fractional coordinates of all 4 atoms:
1 As 0.5000 0.5000 0.5000
2 Na 0.7500 0.7500 0.7500
3 Te 0.2500 0.2500 0.2500
4 W 0.0000 0.0000 0.0000

*B*
Crystalline NaTeAsW at its relaxed geometry. Source: OQMD via LeMat-Bulk, functional PBE.

Values from the calculation:
The calculated volume comes out at 19.29 Å³/atom.

Cell lengths 4.7785, 4.7785, 4.7785 Å; angles 60.00, 60.00, 60.00 degrees
Fractional coordinates of all 4 atoms:
1 As 0.0000 0.0000 0.0000
2 Na 0.7500 0.7500 0.7500
3 Te 0.5000 0.5000 0.5000
4 W 0.2500 0.2500 0.2500

*B* is preferred energetically. Next in line: 60.1 kJ/mol of atoms higher.

*A*
Crystalline NdNbAsO at its relaxed geometry. Source: OQMD via LeMat-Bulk, functional PBE.

Values from the calculation:
The calculated volume comes out at 18.28 Å³/atom.

Cell lengths 4.2135, 4.8879, 7.1015 Å; angles 90.00, 90.00, 90.00 degrees
Fractional coordinates of all 8 atoms:
1 As 0.0000 0.8396 0.2878
2 As 0.0000 0.1604 0.7878
3 Nb 0.0000 0.3461 0.4390
4 Nb 0.0000 0.6539 0.9390
5 Nd 0.5000 0.1717 0.0901
6 Nd 0.5000 0.8283 0.5901
7 O 0.5000 0.3464 0.4370
8 O 0.5000 0.6536 0.9370

*B*
Crystalline NdNbAsO at its relaxed geometry. Source: OQMD via LeMat-Bulk, functional PBE.

Values from the calculation:
The calculated volume comes out at 21.97 Å³/atom.

Cell lengths 4.5982, 6.0927, 6.2727 Å; angles 90.01, 90.00, 90.01 degrees
Fractional coordinates of all 8 atoms:
1 As 0.9974 0.9250 0.2503
2 As 0.9974 0.4249 0.7376
3 Nb 0.4974 0.0357 0.1049
4 Nb 0.4974 0.5353 0.8832
5 Nd 0.9973 0.4293 0.2628
6 Nd 0.9973 0.9292 0.7255
7 O 0.4973 0.3611 0.1634
8 O 0.4973 0.8608 0.8248

*C*
Crystalline NdNbAsO at its relaxed geometry. Source: OQMD via LeMat-Bulk, functional PBE.

Values from the calculation:
The calculated volume comes out at 18.01 Å³/atom.

Cell lengths 4.2004, 4.2004, 8.1676 Å; angles 90.00, 90.00, 90.00 degrees
Fractional coordinates of all 8 atoms:
1 As 0.0000 0.5000 0.2392
2 As 0.5000 0.0000 0.7608
3 Nb 0.5000 0.0000 0.0931
4 Nb 0.0000 0.5000 0.9069
5 Nd 0.0000 0.0000 0.5000
6 Nd 0.5000 0.5000 0.5000
7 O 0.0000 0.0000 0.0000
8 O 0.5000 0.5000 0.0000

*D*
Crystalline NdNbAsO at its relaxed geometry. Source: OQMD via LeMat-Bulk, functional PBE.

Values from the calculation:
The calculated volume comes out at 18.91 Å³/atom.

Cell lengths 4.0386, 4.0386, 9.2770 Å; angles 90.00, 90.00, 90.00 degrees
Fractional coordinates of all 8 atoms:
1 As 0.7500 0.7500 0.3095
2 As 0.2500 0.2500 0.6905
3 Nb 0.7500 0.2500 0.5000
4 Nb 0.2500 0.7500 0.5000
5 Nd 0.2500 0.2500 0.1280
6 Nd 0.7500 0.7500 0.8720
7 O 0.7500 0.2500 0.0000
8 O 0.2500 0.7500 0.0000

*D* is preferred energetically. Next in line: 22.7 kJ/mol of atoms higher.

*A*
Crystalline NbNiAsPd at its relaxed geometry. Source: OQMD via LeMat-Bulk, functional PBE.

Values from the calculation:
The calculated volume comes out at 15.34 Å³/atom.

Cell lengths 4.4270, 4.4270, 4.4270 Å; angles 60.00, 60.00, 60.00 degrees
Fractional coordinates of all 4 atoms:
1 As 0.0000 0.0000 0.0000
2 Nb 0.5000 0.5000 0.5000
3 Ni 0.7500 0.7500 0.7500
4 Pd 0.2500 0.2500 0.2500

*B*
Crystalline NbNiAsPd at its relaxed geometry. Source: OQMD via LeMat-Bulk, functional PBE.

Values from the calculation:
The calculated volume comes out at 15.03 Å³/atom.

Cell lengths 4.3970, 4.3970, 4.3970 Å; angles 60.00, 60.00, 60.00 degrees
Fractional coordinates of all 4 atoms:
1 As 0.0000 0.0000 0.0000
2 Nb 0.2500 0.2500 0.2500
3 Ni 0.7500 0.7500 0.7500
4 Pd 0.5000 0.5000 0.5000

*B* is preferred energetically. Next in line: 21.5 kJ/mol of atoms higher.